No. 1
# PuCoRh2 | Alexandria | PBE-GGA | optimized geometry
# Total magnetization in μB/f.u.: 1.6
# Calculated formation energy in eV/atom: -0.283
data_PuCoRh2
_cell_length_a 4.0210
_cell_length_b 4.0210
_cell_length_c 3.9083
_cell_angle_alpha 90.00
_cell_angle_beta 90.00
_cell_angle_gamma 90.00
_space_group_name_H-M_alt 'P 4/m m m'
_space_group_IT_number 123
_space_group_name_Hall '-P 4 2'
loop_
_atom_site_label
_atom_site_fract_x
_atom_site_fract_y
_atom_site_fract_z
Pu1 0.0000 0.0000 0.0000
Co1 0.5000 0.5000 0.0000
Rh1 0.0000 0.5000 0.5000

No. 2
# SmDy4HoS8 | Alexandria | PBE-GGA | optimized geometry
# Energy relative to the elements, uncorrected in meV per atom: -1930
# Total magnetization in μB/f.u.: 0.0
data_SmDy4HoS8
_cell_length_a 8.0740
_cell_length_b 8.0740
_cell_length_c 19.7535
_cell_angle_alpha 90.00
_cell_angle_beta 90.00
_cell_angle_gamma 120.00
_space_group_name_H-M_alt 'R 3 m'
_space_group_IT_number 160
_space_group_name_Hall 'R 3 -2"'
loop_
_atom_site_label
_atom_site_fract_x
_atom_site_fract_y
_atom_site_fract_z
Sm1 0.0000 0.0000 0.0000
Dy1 0.0000 0.0000 0.2496
Dy2 0.0013 0.5006 0.1250
Ho1 0.0000 0.0000 0.6246
S1 0.0000 0.0000 0.3819
S2 0.0000 0.0000 0.8652
S3 0.0269 0.5135 0.3778
S4 0.1769 0.3537 0.2063

No. 3
# FeCuAs2 | Alexandria | PBE-GGA | optimized geometry
# Total magnetization in μB/f.u.: 1.6
# Polymorph energy (0 for the lowest one) in meV per atom: 74
# Calculated formation energy in eV/atom: 0.148
data_FeCuAs2
_cell_length_a 7.5296
_cell_length_b 3.0508
_cell_length_c 5.3257
_cell_angle_alpha 90.00
_cell_angle_beta 102.78
_cell_angle_gamma 90.00
_space_group_name_H-M_alt 'C 1 2/m 1'
_space_group_IT_number 12
_space_group_name_Hall '-C 2y'
loop_
_atom_site_label
_atom_site_fract_x
_atom_site_fract_y
_atom_site_fract_z
Fe1 0.0000 0.0000 0.0000
Cu1 0.0000 0.5000 0.5000
As1 0.2366 0.5000 0.2260

No. 4
# RbCrN2 | Alexandria | PBE-GGA | optimized geometry
# Energy relative to the elements, uncorrected in meV per atom: -479
# Total magnetization in μB/f.u.: 0.0
# Polymorph energy (0 for the lowest one) in meV per atom: 0
data_RbCrN2
_cell_length_a 5.7633
_cell_length_b 5.7633
_cell_length_c 8.1599
_cell_angle_alpha 90.00
_cell_angle_beta 90.00
_cell_angle_gamma 90.00
_space_group_name_H-M_alt 'I -4 2 d'
_space_group_IT_number 122
_space_group_name_Hall 'I -4 2bw'
loop_
_atom_site_label
_atom_site_fract_x
_atom_site_fract_y
_atom_site_fract_z
Rb1 0.0000 0.0000 0.0000
Cr1 0.0000 0.0000 0.5000
N1 0.0017 0.2500 0.6250

No. 5
# Sm2GaAg | Alexandria | PBE-GGA | optimized geometry
# Total magnetization in μB/f.u.: 0.0
# Calculated formation energy in eV/atom: -0.422
data_Sm2GaAg
_cell_length_a 7.3835
_cell_length_b 7.3835
_cell_length_c 7.3835
_cell_angle_alpha 90.00
_cell_angle_beta 90.00
_cell_angle_gamma 90.00
_space_group_name_H-M_alt 'F m -3 m'
_space_group_IT_number 225
_space_group_name_Hall '-F 4 2 3'
loop_
_atom_site_label
_atom_site_fract_x
_atom_site_fract_y
_atom_site_fract_z
Sm1 0.2500 0.2500 0.2500
Ga1 0.0000 0.0000 0.0000
Ag1 0.0000 0.0000 0.5000

No. 6
# CuSb2Br | Alexandria | PBE-GGA | optimized geometry
# Energy relative to the elements, uncorrected in meV per atom: 114
# Total magnetization in μB/f.u.: 0.0
# Polymorph energy (0 for the lowest one) in meV per atom: 183
data_CuSb2Br
_cell_length_a 3.7684
_cell_length_b 5.8702
_cell_length_c 9.1724
_cell_angle_alpha 90.00
_cell_angle_beta 90.00
_cell_angle_gamma 90.00
_space_group_name_H-M_alt 'C m m 2'
_space_group_IT_number 35
_space_group_name_Hall 'C 2 -2'
loop_
_atom_site_label
_atom_site_fract_x
_atom_site_fract_y
_atom_site_fract_z
Cu1 0.0000 0.0000 0.0000
Sb1 0.0000 0.0000 0.5229
Sb2 0.0000 0.5000 0.7891
Br1 0.0000 0.5000 0.1685

What is the total magnetization in the sixth record? 0.0 μB/f.u.